Entry w
# Th2AgSe

An optimized crystal structure of Th2AgSe (GGA-PBE, Alexandria via LeMat-Bulk).

Summary:
N(E_F) (states/eV per cell): 4.45
V (Å³/atom): 28.1

a = 4.250 Å, b = 4.250 Å, c = 7.586 Å
α = 73.73°, β = 73.73°, γ = 60.00°
Fractional coordinates of all 4 atoms:
Se 0.000 0.000 0.000
Ag 0.500 0.500 0.500
Th 0.254 0.254 0.239
Th 0.746 0.746 0.761

***

Entry x
# Th2AgSe

An optimized crystal structure of Th2AgSe (GGA-PBE, Alexandria via LeMat-Bulk).

Summary:
N(E_F) (states/eV per cell): 4.19
V (Å³/atom): 27.9

a = 3.990 Å, b = 3.990 Å, c = 8.417 Å
α = 76.29°, β = 76.29°, γ = 60.00°
Fractional coordinates of all 4 atoms:
Th 0.078 0.078 0.767
Th 0.256 0.256 0.232
Ag 0.499 0.499 0.502
Se 0.667 0.667 0.999

***

Which of them is the most stable, and which is the least stable? entry w and entry x, in that order.

***

Entry w
# Ti3AgSe

An optimized crystal structure of Ti3AgSe (GGA-PBE, Alexandria via LeMat-Bulk).

Summary:
N(E_F) (states/eV per cell): 2.95
V (Å³/atom): 20.4

a = 4.670 Å, b = 4.670 Å, c = 4.670 Å
α = 90.00°, β = 90.00°, γ = 90.00°
Fractional coordinates of all 5 atoms:
Se 0.000 0.000 0.000
Ag 0.500 0.500 0.500
Ti 0.000 0.500 0.000
Ti 0.000 0.000 0.500
Ti 0.500 0.000 0.000

***

Entry x
# Ti3AgSe

An optimized crystal structure of Ti3AgSe (GGA-PBE, Alexandria via LeMat-Bulk).

Summary:
N(E_F) (states/eV per cell): 4.09
V (Å³/atom): 23.5

a = 4.901 Å, b = 4.901 Å, c = 4.901 Å
α = 90.00°, β = 90.00°, γ = 90.00°
Fractional coordinates of all 5 atoms:
Se 0.500 0.500 0.500
Ag 0.000 0.000 0.000
Ti 0.000 0.500 0.000
Ti 0.000 0.000 0.500
Ti 0.500 0.000 0.000

***

Which of them is the most stable, and which is the least stable? entry w and entry x, in that order.

***

Entry w
# Ti4AgSe8

An optimized crystal structure of Ti4AgSe8 (GGA-PBE, Alexandria via LeMat-Bulk).

Summary:
N(E_F) (states/eV per cell): 6.47
V (Å³/atom): 23.3

a = 7.542 Å, b = 7.542 Å, c = 7.542 Å
α = 60.00°, β = 60.00°, γ = 60.00°
Fractional coordinates of all 13 atoms:
Ti 0.893 0.369 0.369
Ti 0.369 0.893 0.369
Ti 0.369 0.369 0.893
Ti 0.369 0.369 0.369
Ag 0.750 0.750 0.750
Se 0.615 0.128 0.128
Se 0.128 0.615 0.128
Se 0.128 0.128 0.615
Se 0.128 0.128 0.128
Se 0.161 0.613 0.613
Se 0.613 0.161 0.613
Se 0.613 0.613 0.161
Se 0.613 0.613 0.613

***

Entry x
# Ti4AgSe8

An optimized crystal structure of Ti4AgSe8 (GGA-PBE, Alexandria via LeMat-Bulk).

Summary:
N(E_F) (states/eV per cell): 4.45
V (Å³/atom): 23.9

a = 7.102 Å, b = 7.102 Å, c = 8.199 Å
α = 64.33°, β = 64.33°, γ = 60.00°
Fractional coordinates of all 13 atoms:
Ti 0.000 0.500 0.000
Ti 0.500 0.500 0.000
Ti 0.500 0.000 0.000
Ti 0.000 0.000 0.000
Ag 0.500 0.500 0.500
Se 0.740 0.240 0.780
Se 0.760 0.260 0.220
Se 0.260 0.760 0.220
Se 0.760 0.760 0.220
Se 0.739 0.739 0.782
Se 0.261 0.261 0.218
Se 0.240 0.240 0.780
Se 0.240 0.740 0.780

***

Which of them is the most stable, and which is the least stable? entry x and entry w, in that order.

***

Entry w
# TiAgSe3

An optimized crystal structure of TiAgSe3 (GGA-PBE, Alexandria via LeMat-Bulk).

Summary:
N(E_F) (states/eV per cell): 1.99
V (Å³/atom): 24.5

a = 4.964 Å, b = 4.964 Å, c = 4.964 Å
α = 90.00°, β = 90.00°, γ = 90.00°
Fractional coordinates of all 5 atoms:
Se 0.000 0.500 0.000
Se 0.000 0.000 0.500
Se 0.500 0.000 0.000
Ag 0.500 0.500 0.500
Ti 0.000 0.000 0.000

***

Entry x
# TiAgSe3

An optimized crystal structure of TiAgSe3 (GGA-PBE, Alexandria via LeMat-Bulk).

Summary:
N(E_F) (states/eV per cell): 2.36
V (Å³/atom): 25.7

a = 5.052 Å, b = 5.052 Å, c = 5.052 Å
α = 88.04°, β = 88.04°, γ = 88.04°
Fractional coordinates of all 5 atoms:
Ti 0.167 0.167 0.167
Ag 0.845 0.845 0.845
Se 0.686 0.213 0.213
Se 0.213 0.686 0.213
Se 0.213 0.213 0.686

***

Which of them is the most stable, and which is the least stable? entry x and entry w, in that order.